No. 1
A plane-wave DFT calculation with PBE was carried out for a relaxed SrRu2Rh crystal.

a b c (Å): 9.511 9.511 9.511
angles (deg): 151.35 151.35 40.97
Positions (direct):
1 Sr 0.375 0.625 0.750
2 Sr 0.625 0.375 0.250
3 Ru 0.000 0.000 0.000
4 Ru 0.000 0.000 0.500
5 Ru 0.000 0.500 0.000
6 Ru 0.500 0.000 0.500
7 Rh 0.125 0.875 0.250
8 Rh 0.875 0.125 0.750

* ΔE to the lowest computed polymorph: 31.6 kJ per mole of atoms
* energy of formation: 0.703 eV/atom

***

No. 2
A plane-wave DFT calculation with PBE was carried out for a relaxed ScRe2O6 crystal.

a b c (Å): 7.566 4.871 5.673
angles (deg): 90.00 97.88 90.00
Positions (direct):
1 Sc 0.000 0.000 0.000
2 Sc 0.000 0.500 0.500
3 Re 0.350 0.009 0.371
4 Re 0.350 0.491 0.871
5 Re 0.650 0.509 0.129
6 Re 0.650 0.991 0.629
7 O 0.117 0.676 0.825
8 O 0.117 0.824 0.325
9 O 0.253 0.216 0.077
10 O 0.253 0.284 0.577
11 O 0.430 0.731 0.158
12 O 0.430 0.769 0.658
13 O 0.570 0.231 0.342
14 O 0.570 0.269 0.842
15 O 0.747 0.716 0.423
16 O 0.747 0.784 0.923
17 O 0.883 0.176 0.675
18 O 0.883 0.324 0.175

* formation energy without anion corrections: -2052 meV/atom

***

No. 3
A plane-wave DFT calculation with PBE was carried out for a relaxed SrMgFe2Re crystal.

a b c (Å): 4.565 4.565 5.089
angles (deg): 90.00 90.00 90.00
Positions (direct):
1 Sr 0.000 0.000 0.000
2 Mg 0.500 0.500 0.000
3 Fe 0.000 0.500 0.500
4 Fe 0.500 0.000 0.500
5 Re 0.500 0.500 0.500

* energy of formation: 0.899 eV/atom

***

No. 4
A plane-wave DFT calculation with PBE was carried out for a relaxed Na2GaSi2 crystal.

a b c (Å): 6.595 6.595 4.868
angles (deg): 90.00 90.00 90.00
Positions (direct):
1 Na 0.176 0.324 0.000
2 Na 0.324 0.824 0.000
3 Na 0.676 0.176 0.000
4 Na 0.824 0.676 0.000
5 Ga 0.000 0.000 0.500
6 Ga 0.500 0.500 0.500
7 Si 0.127 0.627 0.500
8 Si 0.373 0.127 0.500
9 Si 0.627 0.873 0.500
10 Si 0.873 0.373 0.500

* ΔE to the lowest computed polymorph: 0.0 kJ per mole of atoms
* formation energy without anion corrections: 60 meV/atom